First-principles (PBE) data for K2HgSbH after structural relaxation, as listed in the Alexandria database.

N(E_F), states/eV/cell: 1.31
Symmetry: P4/mmm, No. 123
Energy relative to the lowest polymorph listed for this composition, eV per atom: 0.113
Uncorrected energy, eV/atom: -2.07

Structure (CIF):
```
data_K2HgSbH
_chemical_formula_sum 'K2 Hg1 Sb1 H1'
_cell_length_a 4.8721
_cell_length_b 4.8721
_cell_length_c 5.5176
_cell_angle_alpha 90.00
_cell_angle_beta 90.00
_cell_angle_gamma 90.00
_space_group_name_H-M_alt 'P 1'
_space_group_IT_number 1
loop_
_space_group_symop_operation_xyz
'x,y,z'
loop_
_atom_site_label
_atom_site_type_symbol
_atom_site_fract_x
_atom_site_fract_y
_atom_site_fract_z
Hg1 Hg 0.0000 0.0000 0.5000
H1 H 0.0000 0.0000 0.0000
Sb1 Sb 0.5000 0.5000 0.5000
K1 K 0.0000 0.5000 0.0000
K2 K 0.5000 0.0000 0.0000
```

***

First-principles (PBE) data for Mg2CdSe after structural relaxation, as listed in the Alexandria database.

N(E_F), states/eV/cell: 0.50
Symmetry: I-42d, No. 122
Energy relative to the lowest polymorph listed for this composition, eV per atom: 0.111
Uncorrected energy, eV/atom: -2.28

Structure (CIF):
```
data_Mg2CdSe
_chemical_formula_sum 'Mg4 Cd2 Se2'
_cell_length_a 7.4977
_cell_length_b 7.4977
_cell_length_c 6.3611
_cell_angle_alpha 53.89
_cell_angle_beta 53.89
_cell_angle_gamma 90.00
_space_group_name_H-M_alt 'P 1'
_space_group_IT_number 1
loop_
_space_group_symop_operation_xyz
'x,y,z'
loop_
_atom_site_label
_atom_site_type_symbol
_atom_site_fract_x
_atom_site_fract_y
_atom_site_fract_z
Cd1 Cd 0.0000 0.0000 0.0000
Se1 Se 0.2500 0.7500 0.5000
Mg1 Mg 0.5886 0.1250 0.2500
Mg2 Mg 0.1614 0.6250 0.2500
Cd2 Cd 0.7500 0.2500 0.5000
Se2 Se 0.5000 0.5000 0.0000
Mg3 Mg 0.8750 0.8386 0.7500
Mg4 Mg 0.3750 0.4114 0.7500
```

***

First-principles (PBE) data for BaF5 after structural relaxation, as listed in the Alexandria database.

Symmetry: P2_1/m, No. 11
Energy relative to the lowest polymorph listed for this composition, eV per atom: 0.000
Uncorrected energy, eV/atom: -3.69

Structure (CIF):
```
data_BaF5
_chemical_formula_sum 'Ba2 F10'
_cell_length_a 4.8889
_cell_length_b 5.7717
_cell_length_c 8.2885
_cell_angle_alpha 90.00
_cell_angle_beta 90.00
_cell_angle_gamma 127.97
_space_group_name_H-M_alt 'P 1'
_space_group_IT_number 1
loop_
_space_group_symop_operation_xyz
'x,y,z'
loop_
_atom_site_label
_atom_site_type_symbol
_atom_site_fract_x
_atom_site_fract_y
_atom_site_fract_z
F1 F 0.4958 0.6703 0.7500
F2 F 0.5042 0.3297 0.2500
Ba1 Ba 0.3304 0.0900 0.7500
F3 F 0.2313 0.9908 0.0874
F4 F 0.2313 0.9908 0.4126
Ba2 Ba 0.6696 0.9100 0.2500
F5 F 0.8895 0.5678 0.5625
F6 F 0.1105 0.4322 0.4375
F7 F 0.8895 0.5678 0.9375
F8 F 0.7687 0.0092 0.5874
F9 F 0.1105 0.4322 0.0625
F10 F 0.7687 0.0092 0.9126
```

***

First-principles (PBE) data for K2RbIrCl8 after structural relaxation, as listed in the Alexandria database.

N(E_F), states/eV/cell: 9.28
Symmetry: P-1, No. 2
Uncorrected energy, eV/atom: -3.39

Structure (CIF):
```
data_K2RbIrCl8
_chemical_formula_sum 'K2 Rb1 Ir1 Cl8'
_cell_length_a 6.8119
_cell_length_b 5.7425
_cell_length_c 9.2193
_cell_angle_alpha 74.45
_cell_angle_beta 90.05
_cell_angle_gamma 90.29
_space_group_name_H-M_alt 'P 1'
_space_group_IT_number 1
loop_
_space_group_symop_operation_xyz
'x,y,z'
loop_
_atom_site_label
_atom_site_type_symbol
_atom_site_fract_x
_atom_site_fract_y
_atom_site_fract_z
Cl1 Cl 0.2436 0.1738 0.1175
Cl2 Cl 0.9990 0.6693 0.2162
Cl3 Cl 0.0010 0.3307 0.7838
Ir1 Ir 0.0000 0.0000 0.0000
K1 K 0.4984 0.6627 0.1884
Cl4 Cl 0.5001 0.2458 0.4945
Cl5 Cl 0.4999 0.7542 0.5055
Cl6 Cl 0.7564 0.8262 0.8825
K2 K 0.5016 0.3373 0.8116
Rb1 Rb 0.0000 0.0000 0.5000
Cl7 Cl 0.7580 0.1731 0.1176
Cl8 Cl 0.2420 0.8269 0.8824
```

***

First-principles (PBE) data for CePm3Mg2 after structural relaxation, as listed in the Alexandria database.

N(E_F), states/eV/cell: 7.30
Symmetry: P4/mmm, No. 123
Uncorrected energy, eV/atom: -3.92
Energy of formation from the pure elements, eV/atom: -0.029

Structure (CIF):
```
data_CePm3Mg2
_chemical_formula_sum 'Ce1 Pm3 Mg2'
_cell_length_a 3.6053
_cell_length_b 3.6053
_cell_length_c 13.6585
_cell_angle_alpha 90.00
_cell_angle_beta 90.00
_cell_angle_gamma 90.00
_space_group_name_H-M_alt 'P 1'
_space_group_IT_number 1
loop_
_space_group_symop_operation_xyz
'x,y,z'
loop_
_atom_site_label
_atom_site_type_symbol
_atom_site_fract_x
_atom_site_fract_y
_atom_site_fract_z
Ce1 Ce 0.5000 0.5000 0.5000
Pm1 Pm 0.0000 0.0000 0.6732
Mg1 Mg 0.5000 0.5000 0.1625
Pm2 Pm 0.0000 0.0000 0.0000
Pm3 Pm 0.0000 0.0000 0.3268
Mg2 Mg 0.5000 0.5000 0.8375
```

***

First-principles (PBE) data for Hg2RuPb after structural relaxation, as listed in the Alexandria database.

N(E_F), states/eV/cell: 1.54
Symmetry: Immm, No. 71
Uncorrected energy, eV/atom: -3.06
Energy of formation from the pure elements, eV/atom: 0.338

Structure (CIF):
```
data_Hg2RuPb
_chemical_formula_sum 'Hg2 Ru1 Pb1'
_cell_length_a 7.0615
_cell_length_b 7.0615
_cell_length_c 4.5133
_cell_angle_alpha 71.34
_cell_angle_beta 71.34
_cell_angle_gamma 25.75
_space_group_name_H-M_alt 'P 1'
_space_group_IT_number 1
loop_
_space_group_symop_operation_xyz
'x,y,z'
loop_
_atom_site_label
_atom_site_type_symbol
_atom_site_fract_x
_atom_site_fract_y
_atom_site_fract_z
Hg1 Hg 0.0603 0.0603 0.9395
Hg2 Hg 0.4397 0.4397 0.5605
Ru1 Ru 0.7500 0.7500 0.7500
Pb1 Pb 0.2500 0.2500 0.2500
```

***

First-principles (PBE) data for LiMgN2 after structural relaxation, as listed in the Alexandria database.

N(E_F), states/eV/cell: 0.96
Symmetry: I-42d, No. 122
Uncorrected energy, eV/atom: -4.62

Structure (CIF):
```
data_LiMgN2
_chemical_formula_sum 'Li2 Mg2 N4'
_cell_length_a 3.5670
_cell_length_b 3.5670
_cell_length_c 6.6149
_cell_angle_alpha 74.36
_cell_angle_beta 74.36
_cell_angle_gamma 90.00
_space_group_name_H-M_alt 'P 1'
_space_group_IT_number 1
loop_
_space_group_symop_operation_xyz
'x,y,z'
loop_
_atom_site_label
_atom_site_type_symbol
_atom_site_fract_x
_atom_site_fract_y
_atom_site_fract_z
N1 N 0.2528 0.6250 0.2500
N2 N 0.4972 0.1250 0.2500
Li1 Li 0.5000 0.5000 0.0000
Mg1 Mg 0.0000 0.0000 0.0000
Li2 Li 0.2500 0.7500 0.5000
N3 N 0.8750 0.7472 0.7500
Mg2 Mg 0.7500 0.2500 0.5000
N4 N 0.3750 0.5028 0.7500
```

***

First-principles (PBE) data for Y12ZnCo6 after structural relaxation, as listed in the Alexandria database.

N(E_F), states/eV/cell: 16.28
Symmetry: Im-3, No. 204
Uncorrected energy, eV/atom: -6.58
Energy of formation from the pure elements, eV/atom: -0.190

Structure (CIF):
```
data_Y12ZnCo6
_chemical_formula_sum 'Y12 Zn1 Co6'
_cell_length_a 8.3668
_cell_length_b 8.3668
_cell_length_c 8.3668
_cell_angle_alpha 109.47
_cell_angle_beta 109.47
_cell_angle_gamma 109.47
_space_group_name_H-M_alt 'P 1'
_space_group_IT_number 1
loop_
_space_group_symop_operation_xyz
'x,y,z'
loop_
_atom_site_label
_atom_site_type_symbol
_atom_site_fract_x
_atom_site_fract_y
_atom_site_fract_z
Co1 Co 0.5000 0.1127 0.6127
Y1 Y 0.1938 0.3012 0.4950
Y2 Y 0.6988 0.8925 0.1938
Y3 Y 0.3012 0.1075 0.8062
Co2 Co 0.8873 0.3873 0.5000
Y4 Y 0.4950 0.1938 0.3012
Y5 Y 0.6988 0.5050 0.8062
Zn1 Zn 0.0000 0.0000 0.0000
Y6 Y 0.5050 0.8062 0.6988
Y7 Y 0.3012 0.4950 0.1938
Y8 Y 0.8925 0.1938 0.6988
Co3 Co 0.5000 0.8873 0.3873
Y9 Y 0.1938 0.6988 0.8925
Y10 Y 0.8062 0.3012 0.1075
Co4 Co 0.1127 0.6127 0.5000
Y11 Y 0.1075 0.8062 0.3012
Co5 Co 0.6127 0.5000 0.1127
Co6 Co 0.3873 0.5000 0.8873
Y12 Y 0.8062 0.6988 0.5050
```

***

First-principles (PBE) data for Dy6TmTl3 after structural relaxation, as listed in the Alexandria database.

N(E_F), states/eV/cell: 22.83
Symmetry: P2_1/m, No. 11
Uncorrected energy, eV/atom: -4.11
Energy of formation from the pure elements, eV/atom: -0.190

Structure (CIF):
```
data_Dy6TmTl3
_chemical_formula_sum 'Dy12 Tm2 Tl6'
_cell_length_a 5.1715
_cell_length_b 10.2199
_cell_length_c 11.4016
_cell_angle_alpha 102.58
_cell_angle_beta 90.00
_cell_angle_gamma 90.00
_space_group_name_H-M_alt 'P 1'
_space_group_IT_number 1
loop_
_space_group_symop_operation_xyz
'x,y,z'
loop_
_atom_site_label
_atom_site_type_symbol
_atom_site_fract_x
_atom_site_fract_y
_atom_site_fract_z
Tl1 Tl 0.7500 0.4665 0.6096
Dy1 Dy 0.2500 0.2658 0.5103
Dy2 Dy 0.7500 0.8904 0.1047
Dy3 Dy 0.7500 0.1918 0.7126
Dy4 Dy 0.2500 0.1176 0.2064
Dy5 Dy 0.7500 0.5647 0.9078
Dy6 Dy 0.7500 0.3462 0.3167
Dy7 Dy 0.2500 0.4353 0.0922
Tm1 Tm 0.2500 0.9599 0.5962
Dy8 Dy 0.2500 0.6538 0.6833
Dy9 Dy 0.7500 0.7342 0.4897
Tm2 Tm 0.7500 0.0401 0.4038
Tl2 Tl 0.2500 0.3861 0.8036
Dy10 Dy 0.7500 0.8824 0.7936
Dy11 Dy 0.2500 0.1096 0.8953
Dy12 Dy 0.2500 0.8082 0.2874
Tl3 Tl 0.2500 0.5335 0.3904
Tl4 Tl 0.2500 0.7879 0.9616
Tl5 Tl 0.7500 0.2121 0.0384
Tl6 Tl 0.7500 0.6139 0.1964
```

***

First-principles (PBE) data for TbPaS2 after structural relaxation, as listed in the Alexandria database.

N(E_F), states/eV/cell: 17.19
Symmetry: C2/c, No. 15
Energy relative to the lowest polymorph listed for this composition, eV per atom: 0.000
Uncorrected energy, eV/atom: -7.38

Structure (CIF):
```
data_TbPaS2
_chemical_formula_sum 'Tb4 Pa4 S8'
_cell_length_a 6.8279
_cell_length_b 6.7155
_cell_length_c 8.7343
_cell_angle_alpha 104.72
_cell_angle_beta 105.23
_cell_angle_gamma 109.48
_space_group_name_H-M_alt 'P 1'
_space_group_IT_number 1
loop_
_space_group_symop_operation_xyz
'x,y,z'
loop_
_atom_site_label
_atom_site_type_symbol
_atom_site_fract_x
_atom_site_fract_y
_atom_site_fract_z
Pa1 Pa 0.4368 0.1868 0.3736
S1 S 0.6884 0.9375 0.3750
S2 S 0.9382 0.1876 0.8752
Tb1 Tb 0.1865 0.9365 0.8729
Tb2 Tb 0.8135 0.0635 0.1271
S3 S 0.3116 0.0625 0.6250
S4 S 0.5630 0.3125 0.1248
Tb3 Tb 0.9386 0.6886 0.3773
Pa2 Pa 0.6880 0.4380 0.8760
S5 S 0.1866 0.4376 0.3750
Pa3 Pa 0.5632 0.8132 0.6264
Pa4 Pa 0.3120 0.5620 0.1240
S6 S 0.4370 0.6875 0.8752
S7 S 0.0618 0.8124 0.1248
Tb4 Tb 0.0614 0.3114 0.6227
S8 S 0.8134 0.5624 0.6250
```